Entry 1:
BaGe3Br | PBE | relaxed

a = 6.0650 Å, b = 6.0650 Å, c = 6.0650 Å
α = 90.00°, β = 90.00°, γ = 90.00°
Site moments in Bohr magnetons follow the coordinates.
Element x y z (fractional)
Br  0.5000  0.5000  0.5000  0.21
Ge  0.5000  0.0000  0.0000  0.27
Ge  0.0000  0.0000  0.5000  0.23
Ge  0.0000  0.5000  0.0000  0.34
Ba  0.0000  0.0000  0.0000  0.20

Output
density of states at the Fermi level = 1.30 states/eV/atom
E_form (uncorrected) = 1.189 eV/atom
mass density = 3.24 Mg/m³
total DFT energy (no corrections) = -11.50 eV per cell

Entry 2:
Ba2GeBr | PBE | relaxed

a = 4.7250 Å, b = 4.7250 Å, c = 8.8468 Å
α = 74.51°, β = 74.51°, γ = 60.00°
Site moments in Bohr magnetons follow the coordinates.
Element x y z (fractional)
Br  0.5000  0.5000  0.5000  0.00
Ba  0.2567  0.2567  0.2299  0.05
Ge  0.0000  0.0000  0.0000  0.21
Ba  0.7433  0.7433  0.7701  0.05

Output
density of states at the Fermi level = 0.81 states/eV/atom
E_form (uncorrected) = -1.077 eV/atom
mass density = 4.36 Mg/m³
total DFT energy (no corrections) = -14.44 eV per cell

Entry 3:
Ba3GeBr3 | PBE | relaxed

a = 11.5999 Å, b = 9.0491 Å, c = 9.0491 Å
α = 120.55°, β = 108.69°, γ = 108.69°
Element x y z (fractional)
Ge  0.1231  0.1700  0.1700
Br  0.5716  0.2501  0.2501
Ba  0.7396  0.3867  0.6985
Ba  0.1971  0.8825  0.8825
Br  0.5000  0.7821  0.2179
Ge  0.8769  0.8300  0.8300
Br  0.0000  0.6540  0.3460
Ba  0.8029  0.1175  0.1175
Br  0.4284  0.7499  0.7499
Br  0.5000  0.2179  0.7821
Br  0.0000  0.3460  0.6540
Ba  0.2604  0.6133  0.3015
Ba  0.2604  0.3015  0.6133
Ba  0.7396  0.6985  0.3867

Output
density of states at the Fermi level = 0.39 states/eV/atom
E_form (uncorrected) = -1.419 eV/atom
mass density = 3.85 Mg/m³
total DFT energy (no corrections) = -50.68 eV per cell